{"formula": "PmZn6Ag12", "functional": "GGA-PBE", "state": "relaxed", "cell": [[7.4305, -0.0155, -0.0218], [-1.8569, 7.1947, -0.0218], [-1.8569, -2.3919, 6.7855]], "species": ["Ag", "Ag", "Ag", "Ag", "Ag", "Ag", "Ag", "Ag", "Ag", "Ag", "Ag", "Ag", "Zn", "Zn", "Zn", "Zn", "Zn", "Zn", "Pm"], "fractional_positions": [[0.8842, 0.5000, 0.1158], [0.5000, 0.1158, 0.8842], [0.3870, 0.1361, 0.3870], [0.1361, 0.3870, 0.3870], [0.1158, 0.8842, 0.5000], [0.5000, 0.8842, 0.1158], [0.1158, 0.5000, 0.8842], [0.8842, 0.1158, 0.5000], [0.6130, 0.6130, 0.8639], [0.3870, 0.3870, 0.1361], [0.6130, 0.8639, 0.6130], [0.8639, 0.6130, 0.6130], [0.7220, 0.7220, 0.2978], [0.2780, 0.7022, 0.2780], [0.2978, 0.7220, 0.7220], [0.7220, 0.2978, 0.7220], [0.2780, 0.2780, 0.7022], [0.7022, 0.2780, 0.2780], [0.0000, 0.0000, 0.0000]]}

{"formula": "Tb4OsPt", "functional": "GGA-PBE", "state": "relaxed", "cell": [[-2.1243, 4.3888, -4.9049], [1.4985, -4.6958, -4.8506], [-6.4723, -2.4500, 0.3723]], "species": ["Tb", "Tb", "Tb", "Tb", "Tb", "Tb", "Tb", "Tb", "Pt", "Pt", "Os", "Os"], "fractional_positions": [[0.6740, 0.1672, 0.8387], [0.3407, 0.3338, 0.3265], [0.3260, 0.8328, 0.1613], [0.8407, 0.1662, 0.3265], [0.8260, 0.6672, 0.1613], [0.6593, 0.6662, 0.6735], [0.1593, 0.8338, 0.6735], [0.1740, 0.3328, 0.8387], [0.5000, 0.0000, 0.5000], [0.0000, 0.5000, 0.5000], [0.0000, 0.0000, 0.0000], [0.5000, 0.5000, 0.0000]]}

Number 1: final energy -2.412 eV per atom, energy of formation 41 meV per atom. Number 2: final energy -6.470 eV per atom, energy of formation -505 meV per atom.